1.
Density functional theory data (PBE-GGA) for a geometry-optimized CrCd2Re structure.

## Properties
- Fermi-level density of states (states/eV/cell) = 3.56
- E above lowest polymorph (eV per atom) = 0.387

abc: 5.2240 5.2240 2.8178
angles: 90.00 90.00 115.52
With the nearest neighbours (Å) after each atom.
Element x y z (fractional)
Cd (0.0000, 0.0000, 0.0000)  4 Cd 2.79-2.82, 4 Cr 2.97, 4 Re 2.97
Cd (0.5000, 0.5000, 0.0000)  4 Cd 2.79-2.82, 4 Re 2.97, 4 Cr 2.97
Re (0.0000, 0.5000, 0.5000)  2 Cr 2.79, 2 Re 2.82, 8 Cd 2.97
Cr (0.5000, 0.0000, 0.5000)  2 Re 2.79, 2 Cr 2.82, 8 Cd 2.97


2.
Density functional theory data (PBE-GGA) for a geometry-optimized Al2TcGeF structure.

## Properties
- Fermi-level density of states (states/eV/cell) = 2.78
- energy relative to the elements, uncorrected (eV per atom) = 0.422

abc: 4.9352 3.8770 4.9352
angles: 90.00 90.00 90.00
With the nearest neighbours (Å) after each atom.
Element x y z (fractional)
Ge (0.0000, 0.0000, 0.0000)  2 F 1.94
Al (0.5000, 0.0000, 0.0000)  2 Ge 2.47
Al (0.0000, 0.0000, 0.5000)  2 Ge 2.47
Tc (0.5000, 0.5000, 0.5000)  8 Al 3.14, 4 F 3.49
F (0.0000, 0.5000, 0.0000)  2 Ge 1.94


3.
Density functional theory data (PBE-GGA) for a geometry-optimized ErThMg6 structure.

## Properties
- total DFT energy (no corrections) (eV/atom) = -2.695
- Fermi-level density of states (states/eV/cell) = 4.92

abc: 5.1960 6.6453 6.6453
angles: 117.37 90.00 90.00
With the nearest neighbours (Å) after each atom.
Element x y z (fractional)
Mg (0.0000, 0.5819, 0.4181)  8 Mg 3.17-3.34, 2 Th 3.32, 2 Er 3.46
Mg (0.5000, 0.4302, 0.1116)  7 Mg 3.16-3.36, 2 Er 3.27, 2 Th 3.31-3.35
Mg (0.0000, 0.0660, 0.3875)  7 Mg 3.13-3.34, 2 Th 3.28, 2 Er 3.30-3.36
Mg (0.0000, 0.6125, 0.9340)  7 Mg 3.13-3.34, 2 Th 3.28, 2 Er 3.30-3.36
Mg (0.5000, 0.8884, 0.5698)  7 Mg 3.16-3.36, 2 Er 3.27, 2 Th 3.31-3.35
Mg (0.5000, 0.9199, 0.0801)  8 Mg 3.17-3.36, 2 Er 3.31, 2 Th 3.46
Th (0.5000, 0.3997, 0.6003)  12 Mg 3.28-3.46
Er (0.0000, 0.1010, 0.8990)  12 Mg 3.27-3.46


4.
Density functional theory data (PBE-GGA) for a geometry-optimized Pr6Er4Th structure.

## Properties
- total DFT energy (no corrections) (eV/atom) = -4.802
- Fermi-level density of states (states/eV/cell) = 36.74

abc: 5.9048 5.7008 26.0406
angles: 90.00 90.00 121.19
With the nearest neighbours (Å) after each atom.
Element x y z (fractional)
Pr (0.4457, 0.8914, 0.2500)  2 Er 3.28, 3 Th 3.33-3.34, 2 Pr 3.66
Pr (0.2003, 0.4006, 0.9011)  7 Er 3.38-3.73, 1 Pr 3.78
Pr (0.8803, 0.7605, 0.6807)  4 Er 3.59-3.67, 5 Pr 3.61-3.85, 3 Th 3.71-3.83
Pr (0.7997, 0.5994, 0.4011)  7 Er 3.38-3.73, 1 Pr 3.78
Pr (0.1197, 0.2395, 0.1807)  4 Er 3.59-3.67, 5 Pr 3.61-3.85, 3 Th 3.71-3.83
Pr (0.2003, 0.4006, 0.5989)  7 Er 3.38-3.73, 1 Pr 3.78
Pr (0.5000, 0.0000, 0.5000)  8 Er 3.27-3.58
Pr (0.1197, 0.2395, 0.3193)  4 Er 3.59-3.67, 5 Pr 3.61-3.85, 3 Th 3.71-3.83
Pr (0.8803, 0.7605, 0.8193)  4 Er 3.59-3.67, 5 Pr 3.61-3.85, 3 Th 3.71-3.83
Pr (0.5000, 0.0000, 0.0000)  8 Er 3.27-3.58
Pr (0.5543, 0.1086, 0.7500)  2 Er 3.28, 3 Th 3.33-3.34, 2 Pr 3.66
Pr (0.7997, 0.5994, 0.0989)  7 Er 3.38-3.73, 1 Pr 3.78
Er (0.4552, 0.9105, 0.1243)  6 Pr 3.27-3.59, 1 Er 3.64
Er (0.8483, 0.6966, 0.9569)  8 Pr 3.49-3.73, 2 Er 3.64-3.72
Er (0.5448, 0.0895, 0.6243)  6 Pr 3.27-3.59, 1 Er 3.64
Er (0.1517, 0.3034, 0.4569)  8 Pr 3.49-3.73, 2 Er 3.64-3.72
Er (0.4552, 0.9105, 0.3757)  6 Pr 3.27-3.59, 1 Er 3.64
Er (0.5448, 0.0895, 0.8757)  6 Pr 3.27-3.59, 1 Er 3.64
Er (0.1517, 0.3034, 0.0431)  8 Pr 3.49-3.73, 2 Er 3.64-3.72
Er (0.8483, 0.6966, 0.5431)  8 Pr 3.49-3.73, 2 Er 3.64-3.72
Th (0.7878, 0.5756, 0.2500)  5 Pr 3.33-3.71
Th (0.2122, 0.4244, 0.7500)  5 Pr 3.33-3.71


5.
Density functional theory data (PBE-GGA) for a geometry-optimized Al2TlZn2 structure.

## Properties
- Fermi-level density of states (states/eV/cell) = 1.72
- E above lowest polymorph (eV per atom) = 0.000

abc: 4.0786 4.0786 6.6380
angles: 72.11 72.11 90.00
With the nearest neighbours (Å) after each atom.
Element x y z (fractional)
Zn (0.6067, 0.6067, 0.7866)  1 Zn 2.55, 4 Al 2.66
Zn (0.3933, 0.3933, 0.2134)  1 Zn 2.55, 4 Al 2.66
Al (0.2500, 0.7500, 0.5000)  4 Zn 2.66, 4 Al 2.88
Al (0.7500, 0.2500, 0.5000)  4 Zn 2.66, 4 Al 2.88
Tl (0.0000, 0.0000, 0.0000)  8 Zn 3.15


6.
Density functional theory data (PBE-GGA) for a geometry-optimized KRbY2 structure.

## Properties
- Fermi-level density of states (states/eV/cell) = 6.47
- E above lowest polymorph (eV per atom) = 0.000

abc: 6.3297 6.3297 6.3297
angles: 60.00 60.00 60.00
With the nearest neighbours (Å) after each atom.
Element x y z (fractional)
Rb (0.5000, 0.5000, 0.5000)  8 Y 3.88
K (0.0000, 0.0000, 0.0000)  8 Y 3.88
Y (0.7500, 0.7500, 0.7500)  4 K 3.88, 4 Rb 3.88
Y (0.2500, 0.2500, 0.2500)  4 K 3.88, 4 Rb 3.88